Here is Ti4NbGa2 after structural relaxation from Alexandria via LeMat-Bulk. Energies are from PBE.

Output
The value obtained for the total DFT energy (no corrections) is -6.573 eV/atom. The space group is No. 139. The energy of formation comes out at 242 meV/atom.

Cell and atoms, written as POSCAR:
```
Ti4NbGa2
1.0
-2.4466 2.4466 5.2883
2.4466 -2.4466 5.2883
2.4466 2.4466 -5.2883
Ti Nb Ga
4 1 2
direct
0.0000 0.5000 0.5000
0.2500 0.7500 0.5000
0.5000 0.0000 0.5000
0.7500 0.2500 0.5000
0.0000 0.0000 0.0000
0.3700 0.3700 0.0000
0.6300 0.6300 0.0000
```